No. 1
The following is a DFT calculation (PBE) of crystalline TbThIn2 at its relaxed geometry.

E_form	-216	meV per atom
final energy	-4.5976	eV/atom

a = 3.5774 Å, b = 3.5774 Å, c = 31.5315 Å
α = 90.00°, β = 90.00°, γ = 120.00°
Space group R-3m (No. 166, hexagonal axes)
Asymmetric unit:
Tb1 0.0000 0.0000 0.0000 x3
Th1 0.0000 0.0000 0.5000 x3
In1 0.0000 0.0000 0.2532 x6

---

No. 2
The following is a DFT calculation (PBE) of crystalline AlSbOs2 at its relaxed geometry.

formation energy (no corrections)	0.224	eV/atom
final energy	-7.3569	eV/atom

a = 8.546 Å, b = 2.992 Å, c = 5.106 Å
α = 90.00°, β = 101.48°, γ = 90.00°
Space group C2/m (No. 12)
Asymmetric unit:
Al1 0.000 0.000 0.000 x2
Sb1 0.000 0.500 0.500 x2
Os1 0.242 0.500 0.233 x4

---

No. 3
The following is a DFT calculation (PBE) of crystalline Er5Pb3N at its relaxed geometry.

formation energy (no corrections)	-0.794	eV/atom
final energy	-5.4899	eV/atom

a = 8.9568 Å, b = 8.9568 Å, c = 6.4095 Å
α = 90.00°, β = 90.00°, γ = 120.00°
Space group P6_3/mcm (No. 193)
Asymmetric unit:
Er1 0.0000 0.2111 0.2500 x6
Er2 0.3333 0.6667 0.0000 x4
Pb1 0.0000 0.4011 0.7500 x6
N1 0.0000 0.0000 0.0000 x2

---

No. 4
The following is a DFT calculation (PBE) of crystalline Ho5InIr at its relaxed geometry.

E_form	-284	meV per atom
final energy	-5.2104	eV/atom

a = 10.868 Å, b = 6.915 Å, c = 11.335 Å
α = 90.00°, β = 109.17°, γ = 90.00°
Space group C2/c (No. 15)
Asymmetric unit:
Ho1 0.000 0.018 0.250 x4
Ho2 0.126 0.336 0.047 x8
Ho3 0.222 0.180 0.638 x8
In1 0.000 0.464 0.750 x4
Ir1 0.000 0.000 0.000 x4

---

No. 5
The following is a DFT calculation (PBE) of crystalline YHo2Er8 at its relaxed geometry.

E_form	121	meV per atom
final energy	-4.6177	eV/atom

a = 5.442 Å, b = 8.083 Å, c = 15.687 Å
α = 90.00°, β = 90.00°, γ = 90.00°
Space group Immm (No. 71)
Asymmetric unit:
Y1 0.000 0.000 0.000 x2
Ho1 0.000 0.000 0.298 x4
Er1 0.000 0.205 0.500 x4
Er2 0.000 0.294 0.139 x8
Er3 0.000 0.500 0.339 x4

---

No. 6
The following is a DFT calculation (PBE) of crystalline Mo2CSe at its relaxed geometry.

formation energy (no corrections)	0.762	eV/atom
final energy	-7.8311	eV/atom

a = 5.920 Å, b = 5.920 Å, c = 5.920 Å
α = 90.00°, β = 90.00°, γ = 90.00°
Space group Fm-3m (No. 225)
Asymmetric unit:
Mo1 0.250 0.250 0.250 x8
C1 0.000 0.000 0.000 x4
Se1 0.000 0.000 0.500 x4

---

No. 7
The following is a DFT calculation (PBE) of crystalline La5HgOs at its relaxed geometry.

E_form	-159	meV per atom
final energy	-5.3258	eV/atom

a = 10.148 Å, b = 7.624 Å, c = 12.209 Å
α = 90.00°, β = 108.07°, γ = 90.00°
Space group C2/c (No. 15)
Asymmetric unit:
La1 0.000 0.010 0.250 x4
La2 0.121 0.325 0.555 x8
La3 0.241 0.177 0.132 x8
Hg1 0.000 0.428 0.250 x4
Os1 0.000 0.000 0.000 x4

---

No. 8
The following is a DFT calculation (PBE) of crystalline TlCd2 at its relaxed geometry.

E_form	39	meV per atom
final energy	-1.3600	eV/atom

a = 3.265 Å, b = 3.389 Å, c = 7.291 Å
α = 78.90°, β = 79.85°, γ = 89.62°
Space group P-1 (No. 2)
Asymmetric unit:
Tl1 0.000 0.000 0.000 x1
Cd1 0.316 0.320 0.352 x2

---

No. 9
The following is a DFT calculation (PBE) of crystalline KTcBr2 at its relaxed geometry.

formation energy (no corrections)	-0.192	eV/atom
final energy	-3.8947	eV/atom

a = 3.993 Å, b = 5.368 Å, c = 5.364 Å
α = 90.00°, β = 90.09°, γ = 90.00°
Space group Pm (No. 6)
Asymmetric unit:
K1 0.000 0.000 0.000 x1
Tc1 0.500 0.500 0.499 x1
Br1 0.500 0.000 0.500 x1
Br2 0.500 0.500 0.999 x1

---

No. 10
The following is a DFT calculation (PBE) of crystalline NdLuAg at its relaxed geometry.

E_form	-38	meV per atom
final energy	-4.0847	eV/atom

a = 5.0315 Å, b = 5.0315 Å, c = 3.8180 Å
α = 90.00°, β = 90.00°, γ = 120.00°
Space group P3m1 (No. 156)
Asymmetric unit:
Nd1 0.0000 0.0000 0.0000 x1
Lu1 0.3333 0.6667 0.4881 x1
Ag1 0.6667 0.3333 0.5648 x1

---

No. 11
The following is a DFT calculation (PBE) of crystalline Pr4Er5Tm2 at its relaxed geometry.

E_form	308	meV per atom
final energy	-4.3169	eV/atom

a = 3.505 Å, b = 9.248 Å, c = 22.916 Å
α = 90.00°, β = 90.00°, γ = 90.00°
Space group Immm (No. 71)
Asymmetric unit:
Pr1 0.000 0.000 0.096 x4
Pr2 0.000 0.291 0.500 x4
Er1 0.000 0.200 0.351 x8
Er2 0.000 0.500 0.000 x2
Tm1 0.000 0.000 0.230 x4

---

No. 12
The following is a DFT calculation (PBE) of crystalline La2NdTm7 at its relaxed geometry.

E_form	31	meV per atom
final energy	-4.5614	eV/atom

a = 6.157 Å, b = 7.113 Å, c = 7.959 Å
α = 77.42°, β = 75.00°, γ = 73.47°
Space group P-1 (No. 2)
Asymmetric unit:
La1 0.200 0.300 0.101 x2
Nd1 0.000 0.000 0.500 x1
Tm1 0.000 0.500 0.500 x1
Tm2 0.198 0.800 0.102 x2
Tm3 0.398 0.102 0.696 x2
Tm4 0.400 0.600 0.697 x2